Material: GdErCdCo
Method: DFT, PBE
State: optimized geometry

DOS at the Fermi energy: 2.82 states/eV/f.u.
Size of the total moment: 1.628 μB/atom
ρ: 9.1 g/cm³
V: 22.61 Å³ per atom
Formation energy from the elements: -0.141 eV/atom
Energy: -6.807 eV per atom

Geometry as POSCAR:
```
GdErCdCo
1.0
0.000 3.563 3.563
3.563 0.000 3.563
3.563 3.563 0.000
Gd Er Cd Co
1 1 1 1
Cartesian
0.000 0.000 0.000 Gd
3.563 3.563 3.563 Er
5.344 5.344 5.344 Cd
1.781 1.781 1.781 Co
```

=====

Material: ErMgCdCo
Method: DFT, PBE
State: optimized geometry

DOS at the Fermi energy: 3.74 states/eV/f.u.
Size of the total moment: 0.222 μB/atom
ρ: 7.6 g/cm³
V: 19.80 Å³ per atom
Formation energy from the elements: -0.023 eV/atom
Energy: -3.568 eV per atom

Geometry as POSCAR:
```
ErMgCdCo
1.0
0.000 3.408 3.408
3.408 0.000 3.408
3.408 3.408 0.000
Er Mg Cd Co
1 1 1 1
Cartesian
0.000 0.000 0.000 Er
3.408 3.408 3.408 Mg
5.112 5.112 5.112 Cd
1.704 1.704 1.704 Co
```

=====

Material: NdErCdCo
Method: DFT, PBE
State: optimized geometry

DOS at the Fermi energy: 2.56 states/eV/f.u.
Size of the total moment: 0.109 μB/atom
ρ: 8.5 g/cm³
V: 23.47 Å³ per atom
Formation energy from the elements: -0.092 eV/atom
Energy: -4.430 eV per atom

Geometry as POSCAR:
```
NdErCdCo
1.0
0.000 3.607 3.607
3.607 0.000 3.607
3.607 3.607 0.000
Nd Er Cd Co
1 1 1 1
Cartesian
0.000 0.000 0.000 Nd
3.607 3.607 3.607 Er
5.411 5.411 5.411 Cd
1.804 1.804 1.804 Co
```

=====

Material: PrErCdCo
Method: DFT, PBE
State: optimized geometry

DOS at the Fermi energy: 2.60 states/eV/f.u.
Size of the total moment: 0.106 μB/atom
ρ: 8.4 g/cm³
V: 23.75 Å³ per atom
Formation energy from the elements: -0.077 eV/atom
Energy: -4.418 eV per atom

Geometry as POSCAR:
```
PrErCdCo
1.0
0.000 3.622 3.622
3.622 0.000 3.622
3.622 3.622 0.000
Pr Er Cd Co
1 1 1 1
Cartesian
0.000 0.000 0.000 Pr
3.622 3.622 3.622 Er
1.811 1.811 1.811 Cd
5.432 5.432 5.432 Co
```

=====

Material: ErScCdCo
Method: DFT, PBE
State: optimized geometry

DOS at the Fermi energy: 2.41 states/eV/f.u.
Relative energy among the computed polymorphs: 0.0 meV per atom
Size of the total moment: 0.096 μB/atom
ρ: 7.9 g/cm³
V: 20.16 Å³ per atom
Formation energy from the elements: -0.306 eV/atom
Energy: -5.035 eV per atom

Geometry as POSCAR:
```
ErScCdCo
1.0
3.295 0.000 0.000
0.000 3.295 0.000
0.000 0.000 7.426
Er Sc Cd Co
1 1 1 1
Cartesian
0.000 0.000 0.000 Er
0.000 0.000 4.296 Sc
1.648 1.648 2.276 Cd
1.648 1.648 5.722 Co
```

=====

Material: ErScCdCo
Method: DFT, PBE
State: optimized geometry

DOS at the Fermi energy: 2.20 states/eV/f.u.
Relative energy among the computed polymorphs: 142.2 meV per atom
Size of the total moment: 0.126 μB/atom
ρ: 7.8 g/cm³
V: 20.33 Å³ per atom
Formation energy from the elements: -0.163 eV/atom
Energy: -4.892 eV per atom

Geometry as POSCAR:
```
ErScCdCo
1.0
0.000 3.438 3.438
3.438 0.000 3.438
3.438 3.438 0.000
Er Sc Cd Co
1 1 1 1
Cartesian
0.000 0.000 0.000 Er
3.438 3.438 3.438 Sc
5.158 5.158 5.158 Cd
1.719 1.719 1.719 Co
```

=====

Material: SmErCdCo
Method: DFT, PBE
State: optimized geometry

DOS at the Fermi energy: 2.87 states/eV/f.u.
Relative energy among the computed polymorphs: 0.0 meV per atom
Size of the total moment: 0.140 μB/atom
ρ: 8.9 g/cm³
V: 22.86 Å³ per atom
Formation energy from the elements: -0.227 eV/atom
Energy: -4.553 eV per atom

Geometry as POSCAR:
```
SmErCdCo
1.0
3.443 0.000 0.000
0.000 3.443 0.000
0.000 0.000 7.716
Sm Er Cd Co
1 1 1 1
Cartesian
0.000 0.000 0.000 Sm
0.000 0.000 4.442 Er
1.721 1.721 2.306 Cd
1.721 1.721 5.989 Co
```

=====

Material: SmErCdCo
Method: DFT, PBE
State: optimized geometry

DOS at the Fermi energy: 2.53 states/eV/f.u.
Relative energy among the computed polymorphs: 111.1 meV per atom
Size of the total moment: 0.118 μB/atom
ρ: 8.8 g/cm³
V: 22.99 Å³ per atom
Formation energy from the elements: -0.116 eV/atom
Energy: -4.442 eV per atom

Geometry as POSCAR:
```
SmErCdCo
1.0
0.000 3.582 3.582
3.582 0.000 3.582
3.582 3.582 0.000
Sm Er Cd Co
1 1 1 1
Cartesian
0.000 0.000 0.000 Sm
3.582 3.582 3.582 Er
5.374 5.374 5.374 Cd
1.791 1.791 1.791 Co
```

=====

Material: TbErCdCo
Method: DFT, PBE
State: optimized geometry

DOS at the Fermi energy: 2.78 states/eV/f.u.
Relative energy among the computed polymorphs: 114.9 meV per atom
Size of the total moment: 0.135 μB/atom
ρ: 9.2 g/cm³
V: 22.37 Å³ per atom
Formation energy from the elements: -0.146 eV/atom
Energy: -4.450 eV per atom

Geometry as POSCAR:
```
TbErCdCo
1.0
0.000 3.550 3.550
3.550 0.000 3.550
3.550 3.550 0.000
Tb Er Cd Co
1 1 1 1
Cartesian
0.000 0.000 0.000 Tb
3.550 3.550 3.550 Er
1.775 1.775 1.775 Cd
5.325 5.325 5.325 Co
```

=====

Material: TbErCdCo
Method: DFT, PBE
State: optimized geometry

DOS at the Fermi energy: 2.49 states/eV/f.u.
Relative energy among the computed polymorphs: 0.0 meV per atom
Size of the total moment: 0.124 μB/atom
ρ: 9.3 g/cm³
V: 22.27 Å³ per atom
Formation energy from the elements: -0.261 eV/atom
Energy: -4.565 eV per atom

Geometry as POSCAR:
```
TbErCdCo
1.0
3.417 0.000 0.000
0.000 3.417 0.000
0.000 0.000 7.628
Tb Er Cd Co
1 1 1 1
Cartesian
0.000 0.000 0.000 Tb
0.000 0.000 4.391 Er
1.709 1.709 2.232 Cd
1.709 1.709 5.971 Co
```

=====

Material: ErTmCdCo
Method: DFT, PBE
State: optimized geometry

DOS at the Fermi energy: 2.57 states/eV/f.u.
Relative energy among the computed polymorphs: 124.1 meV per atom
Size of the total moment: 0.147 μB/atom
ρ: 9.7 g/cm³
V: 21.73 Å³ per atom
Formation energy from the elements: -0.166 eV/atom
Energy: -4.430 eV per atom

Geometry as POSCAR:
```
ErTmCdCo
1.0
0.000 3.516 3.516
3.516 0.000 3.516
3.516 3.516 0.000
Er Tm Cd Co
1 1 1 1
Cartesian
0.000 0.000 0.000 Er
3.516 3.516 3.516 Tm
1.758 1.758 1.758 Cd
5.274 5.274 5.274 Co
```

=====

Material: ErTmCdCo
Method: DFT, PBE
State: optimized geometry

DOS at the Fermi energy: 2.22 states/eV/f.u.
Relative energy among the computed polymorphs: 0.0 meV per atom
Size of the total moment: 0.103 μB/atom
ρ: 9.7 g/cm³
V: 21.63 Å³ per atom
Formation energy from the elements: -0.290 eV/atom
Energy: -4.554 eV per atom

Geometry as POSCAR:
```
ErTmCdCo
1.0
3.381 0.000 0.000
0.000 3.381 0.000
0.000 0.000 7.567
Er Tm Cd Co
1 1 1 1
Cartesian
0.000 0.000 0.000 Er
0.000 0.000 4.359 Tm
1.691 1.691 2.192 Cd
1.691 1.691 5.951 Co
```

=====

- What is the formula in the third record?
  NdErCdCo

=====

- Among the records above, which one has the lowest DOS at the Fermi energy?
  number 6